A plane-wave DFT calculation with PBE-GGA was carried out for LaPu2NpN4 after structural relaxation.

formation energy from raw total energies = -1218 meV per atom
space-group type = No. 10
total DFT energy (no corrections) = -11.20 eV per atom

a b c (Å): 3.521 6.107 6.156
angles (deg): 70.68 90.00 90.00
Atoms (fractional coordinates):
1 N 0.500 0.752 0.271
2 N 0.000 0.766 0.718
3 N 0.000 0.234 0.282
4 N 0.500 0.248 0.729
5 Np 0.000 0.500 0.500
6 Pu 0.000 0.000 0.000
7 Pu 0.500 0.000 0.500
8 La 0.500 0.500 0.000